(1)
Entry from the Alexandria database: AlInNiPt after structural relaxation (GGA-PBE).

Cell: 6.272 6.272 6.272 Å, 90.00 90.00 90.00°
Space group F-43m (No. 216)
Asymmetric unit:
Al 0.000 0.000 0.000 [4 per cell]
In 0.000 0.000 0.500 [4 per cell]
Ni 0.250 0.250 0.750 [4 per cell]
Pt 0.250 0.250 0.250 [4 per cell]

Output
Calculated formation energy, eV/atom: -0.4459
Spin magnetization, μB per atom: 0.000
V, A^3/atom: 15.42

(2)
Entry from the Alexandria database: RbAl2InNi after structural relaxation (GGA-PBE).

Cell: 4.723 4.723 5.946 Å, 90.00 90.00 90.00°
Space group P4/mmm (No. 123)
Asymmetric unit:
Rb 0.000 0.000 0.000 [1 per cell]
Al 0.000 0.500 0.500 [2 per cell]
In 0.500 0.500 0.000 [1 per cell]
Ni 0.000 0.000 0.500 [1 per cell]

Output
Calculated formation energy, eV/atom: 0.3008
Spin magnetization, μB per atom: 0.000
V, A^3/atom: 26.53

(3)
Entry from the Alexandria database: AlInNiRh after structural relaxation (GGA-PBE).

Cell: 6.189 6.189 6.189 Å, 90.00 90.00 90.00°
Space group F-43m (No. 216)
Asymmetric unit:
Al 0.000 0.000 0.000 [4 per cell]
In 0.000 0.000 0.500 [4 per cell]
Ni 0.250 0.250 0.750 [4 per cell]
Rh 0.250 0.250 0.250 [4 per cell]

Output
Calculated formation energy, eV/atom: -0.4532
Spin magnetization, μB per atom: 0.000
V, A^3/atom: 14.82

(4)
Entry from the Alexandria database: AlInNiRu after structural relaxation (GGA-PBE).

Cell: 6.175 6.175 6.175 Å, 90.00 90.00 90.00°
Space group F-43m (No. 216)
Asymmetric unit:
Al 0.000 0.000 0.000 [4 per cell]
In 0.000 0.000 0.500 [4 per cell]
Ni 0.250 0.250 0.750 [4 per cell]
Ru 0.250 0.250 0.250 [4 per cell]

Output
Calculated formation energy, eV/atom: -0.2532
Spin magnetization, μB per atom: 0.000
V, A^3/atom: 14.72

(5)
Entry from the Alexandria database: Sc2Al2InNi5 after structural relaxation (GGA-PBE).

Cell: 9.204 9.204 3.525 Å, 90.00 90.00 90.00°
Space group P4/mbm (No. 127)
Asymmetric unit:
Sc 0.179 0.321 0.000 [4 per cell]
Al 0.117 0.617 0.000 [4 per cell]
In 0.000 0.000 0.000 [2 per cell]
Ni 0.000 0.500 0.500 [2 per cell]
Ni 0.066 0.785 0.500 [8 per cell]

Output
Calculated formation energy, eV/atom: -0.4023
Spin magnetization, μB per atom: 0.000
V, A^3/atom: 14.93

(6)
Entry from the Alexandria database: AlInTc2Ni after structural relaxation (GGA-PBE).

Cell: 4.929 4.929 4.535 Å, 90.00 90.00 90.00°
Space group P4/mmm (No. 123)
Asymmetric unit:
Al 0.000 0.000 0.000 [1 per cell]
In 0.500 0.500 0.500 [1 per cell]
Tc 0.000 0.500 0.500 [2 per cell]
Ni 0.500 0.500 0.000 [1 per cell]

Output
Calculated formation energy, eV/atom: 1.7972
Spin magnetization, μB per atom: 0.816
V, A^3/atom: 22.04

What did the fifth record say?
Entry from the Alexandria database: Sc2Al2InNi5 after structural relaxation (GGA-PBE).

Cell: 9.204 9.204 3.525 Å, 90.00 90.00 90.00°
Space group P4/mbm (No. 127)
Asymmetric unit:
Sc 0.179 0.321 0.000 [4 per cell]
Al 0.117 0.617 0.000 [4 per cell]
In 0.000 0.000 0.000 [2 per cell]
Ni 0.000 0.500 0.500 [2 per cell]
Ni 0.066 0.785 0.500 [8 per cell]

Output
Calculated formation energy, eV/atom: -0.4023
Spin magnetization, μB per atom: 0.000
V, A^3/atom: 14.93